Entry from Alexandria via LeMat-Bulk: an optimized crystal structure of Li7Pm3Bi4 (PBE).

## Properties
* DOS(E_F): 0.56 states/eV per atom
* ΔH_f (0 K): -0.551 eV/atom

a = 4.663 Å, b = 8.852 Å, c = 9.049 Å
α = 70.64°, β = 75.07°, γ = 74.73°
Fractional coordinates of all 14 atoms:
Li 0.332 0.823 0.512
Li 0.495 0.191 0.819
Li 0.849 0.374 0.927
Li 0.668 0.177 0.488
Li 0.151 0.626 0.073
Li 0.000 0.000 0.000
Li 0.505 0.809 0.181
Pm 0.293 0.193 0.221
Pm 0.707 0.807 0.779
Pm 0.000 0.500 0.500
Bi 0.651 0.468 0.231
Bi 0.349 0.532 0.769
Bi 0.880 0.902 0.338
Bi 0.120 0.098 0.662